Record 1
A relaxed CaCd2Sb crystal, computed with PBE.

Computed properties:
total DFT energy (no corrections)	-2.06	eV per atom

Geometry as POSCAR:
```
CaCd2Sb
1.0
-6.689 6.833 0.973
-6.748 5.234 4.408
-4.162 7.882 3.595
Cd Sb Ca
2 1 1
direct
0.505 0.505 0.505
0.995 0.995 0.995
0.250 0.250 0.250
0.750 0.750 0.750
```



Record 2
A relaxed Ca2CdSb crystal, computed with PBE.

Computed properties:
polymorph energy (0 for the lowest one)	246	meV/atom
total DFT energy (no corrections)	-2.71	eV per atom

Geometry as POSCAR:
```
Ca2CdSb
1.0
-3.037 3.301 -0.408
-0.491 0.101 4.476
4.647 4.325 0.412
Cd Ca Sb
1 2 1
direct
0.000 0.000 0.431
0.000 0.000 0.922
0.500 0.500 0.323
0.500 0.500 0.824
```



Record 3
A relaxed CaCdSb2 crystal, computed with PBE.

Computed properties:
total DFT energy (no corrections)	-3.07	eV per atom

Geometry as POSCAR:
```
CaCdSb2
1.0
-1.525 -3.346 -2.113
3.584 -2.128 0.783
-2.475 -2.219 5.301
Sb Ca Cd
2 1 1
direct
0.500 0.500 0.294
0.000 0.000 0.959
0.000 0.000 0.459
0.500 0.500 0.788
```



Record 4
A relaxed CaCd2Sb crystal, computed with PBE.

Computed properties:
total DFT energy (no corrections)	-2.26	eV per atom

Geometry as POSCAR:
```
CaCd2Sb
1.0
-4.615 -0.121 -2.715
-2.165 -4.697 -1.394
-4.475 -1.704 2.399
Sb Ca Cd
1 1 2
direct
0.750 0.750 0.750
0.500 0.500 0.500
0.250 0.250 0.250
0.000 0.000 0.000
```



Record 5
A relaxed CaCdSb2 crystal, computed with PBE.

Computed properties:
total DFT energy (no corrections)	-3.17	eV per atom

Geometry as POSCAR:
```
CaCdSb2
1.0
8.384 0.000 0.000
0.000 8.384 0.000
4.192 4.192 3.278
Ca Sb Cd
2 4 2
direct
0.250 0.750 0.500
0.500 0.500 0.000
0.375 0.342 0.750
0.658 0.125 0.250
0.875 0.908 0.750
0.092 0.625 0.250
0.000 0.000 0.000
0.750 0.250 0.500
```



Record 6
A relaxed CaCd2Sb2 crystal, computed with PBE.

Computed properties:
polymorph energy (0 for the lowest one)	104	meV/atom
total DFT energy (no corrections)	-2.78	eV per atom

Geometry as POSCAR:
```
CaCd2Sb2
1.0
-1.821 -2.976 -2.726
1.962 -3.284 2.274
-9.749 0.670 9.379
Cd Ca Sb
4 2 4
direct
0.954 0.250 0.909
0.460 0.750 0.920
0.540 0.250 0.080
0.046 0.750 0.091
0.343 0.250 0.685
0.657 0.750 0.315
0.879 0.750 0.757
0.121 0.250 0.243
0.250 0.750 0.500
0.750 0.250 0.500
```



Record 7
A relaxed CaCd2Sb crystal, computed with PBE.

Computed properties:
total DFT energy (no corrections)	-2.24	eV per atom

Geometry as POSCAR:
```
CaCd2Sb
1.0
4.109 0.000 0.000
0.000 4.145 0.000
0.000 0.000 6.308
Cd Sb Ca
2 1 1
direct
0.000 0.000 0.016
0.000 0.000 0.484
0.500 0.500 0.250
0.500 0.500 0.750
```



Record 8
A relaxed Ca2CdSb2 crystal, computed with PBE.

Computed properties:
total DFT energy (no corrections)	-3.18	eV per atom

Geometry as POSCAR:
```
Ca2CdSb2
1.0
9.212 0.000 0.000
0.000 9.212 0.000
0.000 0.000 3.542
Sb Cd Ca
4 2 4
direct
0.336 0.164 0.500
0.164 0.664 0.500
0.836 0.336 0.500
0.664 0.836 0.500
0.000 0.000 0.000
0.500 0.500 0.000
0.363 0.863 0.000
0.637 0.137 0.000
0.863 0.637 0.000
0.137 0.363 0.000
```



Which Fermi-level density of states belongs to each record? In order, 0.53 0.92 0.75 0.46 0.02 0.39 0.61 0.57 states/eV/atom.
Which formation energy (no corrections) belongs to each record? In order, -0.067 -0.446 -0.284 -0.276 -0.381 -0.360 -0.247 -0.546 eV per atom.